(1)
Compound: Th4SbAu
Source: Alexandria
Functional: PBE
Structure: optimized geometry

Lattice parameters (Å, degrees): 7.5908 7.5908 6.1666 90.00 90.00 90.00
Positions (direct):
Th (0.1504, 0.3383, 0.0000)
Th (0.1504, 0.6617, 0.5000)
Th (0.3383, 0.1504, 0.5000)
Th (0.3383, 0.8496, 0.0000)
Th (0.6617, 0.1504, 0.0000)
Th (0.6617, 0.8496, 0.5000)
Th (0.8496, 0.3383, 0.5000)
Th (0.8496, 0.6617, 0.0000)
Sb (0.5000, 0.5000, 0.2500)
Sb (0.5000, 0.5000, 0.7500)
Au (0.0000, 0.0000, 0.2500)
Au (0.0000, 0.0000, 0.7500)

Space-group type   P4/mcc, No. 124
Raw formation energy   -0.48 eV per atom



(2)
Compound: Pm2HfHg
Source: Alexandria
Functional: PBE
Structure: optimized geometry

Lattice parameters (Å, degrees): 11.9168 11.9168 11.9168 16.00 16.00 16.00
Positions (direct):
Pm (0.0902, 0.0902, 0.0902)
Pm (0.9098, 0.9098, 0.9098)
Hf (0.0000, 0.0000, 0.0000)
Hg (0.5000, 0.5000, 0.5000)

Space-group type   R-3m, No. 166



(3)
Compound: Eu3In5S12
Source: Alexandria
Functional: PBE
Structure: optimized geometry

Lattice parameters (Å, degrees): 13.7859 13.7859 13.7859 109.47 109.47 109.47
Positions (direct):
Eu (0.1250, 0.2500, 0.3750)
Eu (0.1250, 0.3750, 0.7500)
Eu (0.2500, 0.3750, 0.1250)
Eu (0.2500, 0.8750, 0.6250)
Eu (0.3750, 0.1250, 0.2500)
Eu (0.3750, 0.7500, 0.1250)
Eu (0.6250, 0.2500, 0.8750)
Eu (0.6250, 0.8750, 0.7500)
Eu (0.7500, 0.1250, 0.3750)
Eu (0.7500, 0.6250, 0.8750)
Eu (0.8750, 0.6250, 0.2500)
Eu (0.8750, 0.7500, 0.6250)
In (0.0000, 0.0000, 0.0000)
In (0.0000, 0.0000, 0.5000)
In (0.0000, 0.5000, 0.0000)
In (0.0000, 0.5000, 0.5000)
In (0.1250, 0.7500, 0.8750)
In (0.1250, 0.8750, 0.2500)
In (0.2500, 0.1250, 0.8750)
In (0.2500, 0.6250, 0.3750)
In (0.3750, 0.2500, 0.6250)
In (0.3750, 0.6250, 0.7500)
In (0.5000, 0.0000, 0.0000)
In (0.5000, 0.0000, 0.5000)
In (0.5000, 0.5000, 0.0000)
In (0.5000, 0.5000, 0.5000)
In (0.6250, 0.3750, 0.2500)
In (0.6250, 0.7500, 0.3750)
In (0.7500, 0.3750, 0.6250)
In (0.7500, 0.8750, 0.1250)
In (0.8750, 0.1250, 0.7500)
In (0.8750, 0.2500, 0.1250)
S (0.0403, 0.2148, 0.1275)
S (0.0403, 0.3255, 0.9128)
S (0.0872, 0.6275, 0.4128)
S (0.0872, 0.7148, 0.6745)
S (0.0872, 0.8725, 0.4128)
S (0.0872, 0.9597, 0.6745)
S (0.1275, 0.0403, 0.2148)
S (0.1275, 0.5872, 0.9128)
S (0.1745, 0.2148, 0.5872)
S (0.1745, 0.4597, 0.5872)
S (0.2148, 0.1275, 0.0403)
S (0.2148, 0.5872, 0.1745)
S (0.2852, 0.3255, 0.9128)
S (0.2852, 0.4597, 0.3725)
S (0.3255, 0.9128, 0.0403)
S (0.3255, 0.9128, 0.2852)
S (0.3725, 0.2852, 0.4597)
S (0.3725, 0.5872, 0.9128)
S (0.4128, 0.0872, 0.6275)
S (0.4128, 0.0872, 0.8725)
S (0.4128, 0.8255, 0.5403)
S (0.4128, 0.8255, 0.7852)
S (0.4597, 0.3725, 0.2852)
S (0.4597, 0.5872, 0.1745)
S (0.5403, 0.4128, 0.8255)
S (0.5403, 0.6275, 0.7148)
S (0.5872, 0.1745, 0.2148)
S (0.5872, 0.1745, 0.4597)
S (0.5872, 0.9128, 0.1275)
S (0.5872, 0.9128, 0.3725)
S (0.6275, 0.4128, 0.0872)
S (0.6275, 0.7148, 0.5403)
S (0.6745, 0.0872, 0.7148)
S (0.6745, 0.0872, 0.9597)
S (0.7148, 0.5403, 0.6275)
S (0.7148, 0.6745, 0.0872)
S (0.7852, 0.4128, 0.8255)
S (0.7852, 0.8725, 0.9597)
S (0.8255, 0.5403, 0.4128)
S (0.8255, 0.7852, 0.4128)
S (0.8725, 0.4128, 0.0872)
S (0.8725, 0.9597, 0.7852)
S (0.9128, 0.0403, 0.3255)
S (0.9128, 0.1275, 0.5872)
S (0.9128, 0.2852, 0.3255)
S (0.9128, 0.3725, 0.5872)
S (0.9597, 0.6745, 0.0872)
S (0.9597, 0.7852, 0.8725)

Space-group type   Ia-3d, No. 230
Raw formation energy   -0.94 eV per atom



Total DFT energy (no corrections) / eV per atom: -6.6645 -4.6563 -5.6412